# 1
Rb4SmEr3Se8 PBE optimized geometry; E_form (uncorrected) = -1.7311 eV/atom; space-group type = No. 166; spin magnetization = 0.00 μB/cell
1.0
-2.791 -6.051 5.243
5.501 3.362 6.808
-5.488 5.418 -3.526
Er Rb Se Sm
3 4 8 1
direct
0.000 0.500 0.500
0.500 0.500 0.500
0.500 0.500 0.000
0.500 0.000 0.500
0.000 0.000 0.000
0.500 0.000 0.000
0.000 0.000 0.500
0.731 0.693 0.462
0.274 0.304 0.039
0.235 0.696 0.961
0.235 0.696 0.470
0.726 0.696 0.961
0.765 0.304 0.039
0.765 0.304 0.530
0.269 0.307 0.538
0.000 0.500 0.000

***

# 2
SrTl2In PBE optimized geometry; space-group type = No. 123; ΔH_f (0 K) = -0.222 eV/atom; spin magnetization = 0.00 μB/cell
1.0
-2.603 1.577 -2.622
-0.465 -3.606 -1.707
-5.791 -1.537 4.825
Sr Tl In
1 2 1
direct
0.500 0.500 0.750
0.000 0.000 0.473
0.000 0.000 0.027
0.500 0.500 0.250

***

# 3
Er2PdAu8 PBE optimized geometry; space-group type = No. 12; ΔH_f (0 K) = -0.492 eV/atom; spin magnetization = 0.00 μB/cell
1.0
6.479 -0.583 -2.549
-0.593 4.734 -2.592
-2.114 0.842 7.709
Er Au Pd
2 8 1
direct
0.527 0.157 0.313
0.473 0.843 0.687
0.759 0.755 0.510
0.785 0.340 0.173
0.243 0.600 0.200
0.215 0.167 0.827
0.757 0.400 0.800
0.241 0.245 0.490
0.215 0.660 0.827
0.785 0.833 0.173
0.000 0.000 0.000

***

# 4
Be2InW PBE optimized geometry; space-group type = No. 65; ΔH_f (0 K) = 0.445 eV/atom; spin magnetization = 0.00 μB/cell
1.0
6.350 0.273 0.809
-2.716 3.457 -0.193
0.917 0.864 2.558
Be W In
2 1 1
direct
0.500 0.000 0.500
0.000 0.000 0.000
0.500 0.500 0.000
0.000 0.500 0.500

***

# 5
Ba2SmUAs4 PBE optimized geometry; space-group type = No. 10; ΔH_f (0 K) = -1.094 eV/atom; spin magnetization = 1.00 μB/cell
1.0
4.383 0.000 0.000
0.000 7.510 0.121
0.000 -2.640 7.428
Ba As Sm U
2 4 1 1
direct
0.500 0.000 0.500
0.000 0.500 0.500
0.000 0.278 0.799
0.500 0.748 0.793
0.000 0.722 0.201
0.500 0.252 0.207
0.000 0.000 0.000
0.500 0.500 0.000

***

# 6
CdRuRh2 PBE optimized geometry; space-group type = No. 12; ΔH_f (0 K) = 0.160 eV/atom; spin magnetization = 0.57 μB/cell
1.0
-1.039 -2.933 3.637
0.024 -4.506 1.613
4.361 0.015 2.281
Rh Ru Cd
2 1 1
direct
0.007 0.007 0.981
0.493 0.493 0.519
0.750 0.750 0.750
0.250 0.250 0.250

***

# 7
MgAg4Au7 PBE optimized geometry; distance to the lowest polymorph of the same formula = 0.831 eV per formula unit; space-group type = No. 12; ΔH_f (0 K) = 0.003 eV/atom; spin magnetization = 0.00 μB/cell
1.0
-2.449 2.869 3.390
3.023 -2.792 8.340
2.558 4.983 1.425
Au Ag Mg
7 4 1
direct
0.500 0.000 0.000
0.957 0.376 0.711
0.798 0.917 0.486
0.043 0.624 0.289
0.202 0.083 0.514
0.652 0.464 0.233
0.348 0.536 0.767
0.730 0.688 0.853
0.590 0.228 0.591
0.410 0.772 0.409
0.270 0.312 0.147
0.000 0.000 0.000

***

# 8
NbZn2Cu PBE optimized geometry; distance to the lowest polymorph of the same formula = 1.747 eV per formula unit; space-group type = No. 122; ΔH_f (0 K) = 0.341 eV/atom; spin magnetization = 0.00 μB/cell
1.0
6.939 0.000 0.000
0.000 6.939 0.000
3.469 3.469 2.667
Zn Nb Cu
4 2 2
direct
0.596 0.125 0.250
0.154 0.625 0.250
0.375 0.404 0.750
0.875 0.846 0.750
0.000 0.000 0.000
0.750 0.250 0.500
0.500 0.500 0.000
0.250 0.750 0.500

***

- Among the records above, which one has the highest spin magnetization?
  Ba2SmUAs4

***

- spin magnetization of number 5 (Ba2SmUAs4)?
  1.00 μB/cell

***

- What is the formula in the fifth record?
  Ba2SmUAs4